BaRe2Hg: relaxed, PBE.

The calculation puts the volume at 21.130 Å³ per atom. The density of states at the Fermi level comes out at 5.2 states/eV/f.u. The calculation puts the energy of formation at 1.412 eV per atom. As for the size of the total moment: 0.000 μB per formula unit. The value obtained for the mass density is 13956 kg/m³. As for the space-group type: C2/m, No. 12.

Cell lengths 6.1578, 6.1578, 2.8887 Å; angles 101.66, 101.66, 121.93 degrees
Last column: nearest neighbours and their distance in Å.
Element x y z (fractional)
Ba 0.0000 0.0000 0.0000  2 Ba 2.89, 4 Hg 2.99-3.18, 4 Re 3.13
Re 0.0000 0.5000 0.5000  6 Re 2.89-3.18, 2 Hg 3.13, 2 Ba 3.13
Re 0.5000 0.0000 0.5000  6 Re 2.89-3.18, 2 Ba 3.13, 2 Hg 3.13
Hg 0.5000 0.5000 0.0000  2 Hg 2.89, 4 Ba 2.99-3.18, 4 Re 3.13